DFT (PBE-GGA) results for a relaxed TeRu2WN crystal.

Summary:
formation energy (no corrections) = 1066 meV per atom
symmetry = P4/mmm
total magnetic moment = 0.334 μB/atom
D(E_F) = 5.8 states/eV/cell
E_tot = -7.53 eV/atom

Structure (POSCAR):
```
TeRu2WN
1.0
4.929 0.000 0.000
0.000 4.929 0.000
0.000 0.000 3.818
Te Ru W N
1 2 1 1
direct
0.000 0.000 0.000
0.000 0.500 0.500
0.500 0.000 0.500
0.500 0.500 0.500
0.500 0.500 0.000
```